Material: HfGa2FeO6
Method: DFT, PBE+U
State: optimized geometry

Unit cell a=5.2054 b=5.2334 c=5.5346 alpha=91.24 beta=117.09 gamma=119.57
With the nearest neighbours (Å) after each atom.
Space group P1 (No. 1)
Unique sites:
Hf 0.0000 0.0000 0.0000  6 O 2.04-2.16
Ga 0.4241 0.2082 0.6351  6 O 1.96-2.19
Ga 0.4333 0.7147 0.1481  3 O 1.93
Fe 0.0053 0.5038 0.5012  6 O 2.06-2.27
O 0.2368 0.4191 0.3207  1 Ga 1.93, 1 Fe 2.06, 1 Hf 2.16
O 0.2412 0.3117 0.8331  2 Ga 1.96-2.16, 1 Hf 2.05
O 0.4900 0.0793 0.3201  2 Ga 1.93-2.08, 1 Hf 2.15
O 0.5212 0.9299 0.8301  1 Ga 1.96, 1 Hf 2.04
O 0.8983 0.5895 0.8193  1 Ga 1.97, 1 Hf 2.05, 1 Fe 2.17
O 0.9059 0.8290 0.3210  2 Ga 1.93-2.13, 1 Hf 2.15, 1 Fe 2.15

Output
Crystal system: triclinic
Total DFT energy (no corrections) in eV/cell: -73.3